The following is a DFT calculation (PBE) of a relaxed Ac5SiSe4 crystal.

Cell: 7.801 7.801 7.801 Å, 99.53 99.53 131.97°
Positions (direct):
Ac  0.000  0.000  0.000
Ac  0.208  0.402  0.610
Ac  0.402  0.792  0.194
Ac  0.598  0.208  0.806
Ac  0.792  0.598  0.390
Si  0.500  0.500  0.000
Se  0.099  0.698  0.797
Se  0.302  0.099  0.401
Se  0.698  0.901  0.599
Se  0.901  0.302  0.203

Properties
Its formation energy without anion corrections is -1.670 eV per atom. The space-group type is No. 87. The calculation puts the density at 7.62 g cm⁻³. As for the total energy: -5.661 eV per atom.